# 1
First-principles (PBE-GGA) data for a relaxed structure of Ac2GaAg3Ge4, as listed in Alexandria.

abc: 4.6090 4.6090 10.6309
angles: 90.00 90.00 90.00
With the nearest neighbours (Å) after each atom.
Positions (direct):
Ag: 0.0000 0.0000 0.5000  4 Ge 2.69
Ag: 0.5000 0.0000 0.8726  5 Ge 2.58-2.67
Ag: 0.0000 0.5000 0.1274  5 Ge 2.58-2.67
Ac: 0.5000 0.0000 0.2479  8 Ge 3.50-3.51, 6 Ag 3.50-3.53, 2 Ga 3.53
Ac: 0.0000 0.5000 0.7521  8 Ge 3.50-3.51, 6 Ag 3.50-3.53, 2 Ga 3.53
Ge: 0.5000 0.0000 0.6304  3 Ag 2.58-2.69, 2 Ga 2.69
Ge: 0.5000 0.5000 0.0000  4 Ag 2.67
Ge: 0.0000 0.5000 0.3696  3 Ag 2.58-2.69, 2 Ga 2.69
Ge: 0.0000 0.0000 0.0000  4 Ag 2.67
Ga: 0.5000 0.5000 0.5000  4 Ge 2.69

Summary:
spin magnetization = 0.00 Bohr magnetons per cell
raw total energy = -4.227 eV/atom
formation energy from the elements = -400 meV per atom
calculated volume = 225.8 Å³/cell

# 2
First-principles (PBE-GGA) data for a relaxed structure of SmMg4Zn4, as listed in Alexandria.

abc: 4.7531 8.9697 8.9697
angles: 90.00 90.00 90.00
With the nearest neighbours (Å) after each atom.
Positions (direct):
Mg: 0.4990 0.5971 0.1380  4 Zn 2.75-2.83, 1 Mg 3.03
Mg: 0.4990 0.4029 0.8620  4 Zn 2.75-2.83, 1 Mg 3.03
Mg: 0.5010 0.1380 0.4029  4 Zn 2.75-2.83, 1 Mg 3.03
Mg: 0.5010 0.8620 0.5971  4 Zn 2.75-2.83, 1 Mg 3.03
Mg: 0.0010 0.9029 0.3620  4 Zn 2.75-2.83, 1 Mg 3.03
Mg: 0.0010 0.0971 0.6380  4 Zn 2.75-2.83, 1 Mg 3.03
Mg: 0.9990 0.6380 0.9029  4 Zn 2.75-2.83, 1 Mg 3.03
Mg: 0.9990 0.3620 0.0971  4 Zn 2.75-2.83, 1 Mg 3.03
Sm: 0.0000 0.0000 0.0000  8 Zn 3.10-3.11, 4 Mg 3.36
Sm: 0.5000 0.5000 0.5000  8 Zn 3.10-3.11, 4 Mg 3.36
Zn: 0.0007 0.3020 0.3983  4 Mg 2.75-2.83, 2 Zn 2.82
Zn: 0.4993 0.8020 0.8983  4 Mg 2.75-2.83, 2 Zn 2.82
Zn: 0.9993 0.6017 0.3020  4 Mg 2.75-2.83, 2 Zn 2.82
Zn: 0.4993 0.1980 0.1017  4 Mg 2.75-2.83, 2 Zn 2.82
Zn: 0.0007 0.6980 0.6017  4 Mg 2.75-2.83, 2 Zn 2.82
Zn: 0.5007 0.1017 0.8020  4 Mg 2.75-2.83, 2 Zn 2.82
Zn: 0.9993 0.3983 0.6980  4 Mg 2.75-2.83, 2 Zn 2.82
Zn: 0.5007 0.8983 0.1980  4 Mg 2.75-2.83, 2 Zn 2.82

Summary:
spin magnetization = 0.00 Bohr magnetons per cell
raw total energy = -1.848 eV/atom
formation energy from the elements = -49 meV per atom
calculated volume = 382.4 Å³/cell

# 3
First-principles (PBE-GGA) data for a relaxed structure of V6As2C, as listed in Alexandria.

abc: 5.1860 6.1284 7.4635
angles: 90.00 91.18 90.00
With the nearest neighbours (Å) after each atom.
Positions (direct):
V: 0.4187 0.4998 0.7251  1 C 2.09
V: 0.1726 0.3221 0.0463  1 C 2.05
V: 0.8434 0.7020 0.5473  1 C 2.03
V: 0.5813 0.5002 0.2749  1 C 2.09
V: 0.8274 0.6779 0.9537  1 C 2.05
V: 0.1566 0.2980 0.4527  1 C 2.03
V: 0.9187 0.0002 0.2251  1 C 2.09
V: 0.0813 0.9998 0.7749  1 C 2.09
V: 0.3434 0.7980 0.0473  1 C 2.03
V: 0.6726 0.1779 0.5463  1 C 2.05
V: 0.6566 0.2020 0.9527  1 C 2.03
V: 0.3274 0.8221 0.4537  1 C 2.05
As: 0.9566 0.3957 0.7481  8 V 2.42-2.53
As: 0.4566 0.1043 0.2481  8 V 2.42-2.53
As: 0.0434 0.6043 0.2519  8 V 2.42-2.53
As: 0.5434 0.8957 0.7519  8 V 2.42-2.53
C: 0.5000 0.5000 0.0000  6 V 2.03-2.09
C: 0.0000 0.0000 0.5000  6 V 2.03-2.09

Summary:
spin magnetization = 0.00 Bohr magnetons per cell
raw total energy = -8.490 eV/atom
formation energy from the elements = -353 meV per atom
calculated volume = 237.2 Å³/cell

# 4
First-principles (PBE-GGA) data for a relaxed structure of TbPr5Dy12, as listed in Alexandria.

abc: 11.7535 10.4936 5.7835
angles: 90.00 90.00 55.94
With the nearest neighbours (Å) after each atom.
Positions (direct):
Pr: 0.1378 0.7245 0.5000  8 Dy 3.34-3.67
Pr: 0.8622 0.2755 0.5000  8 Dy 3.34-3.67
Pr: 0.3602 0.2796 0.0000  8 Dy 3.39-3.65, 2 Pr 3.78
Pr: 0.6398 0.7204 0.0000  8 Dy 3.39-3.65, 2 Pr 3.78
Pr: 0.5000 0.0000 0.5000  10 Dy 3.55-3.74, 4 Pr 3.78
Dy: 0.6656 0.3569 0.0004  5 Dy 3.33-3.67, 3 Pr 3.49-3.65, 1 Tb 3.60
Dy: 0.2987 0.0000 0.0016  2 Dy 3.12, 2 Pr 3.39
Dy: 0.8342 0.6415 0.5005  5 Dy 3.32-3.65, 4 Pr 3.48-3.67
Dy: 0.8019 0.0000 0.4984  2 Dy 3.12, 2 Pr 3.34
Dy: 0.1981 0.0000 0.5016  2 Dy 3.12, 2 Pr 3.34
Dy: 0.5243 0.6415 0.4995  5 Dy 3.32-3.65, 4 Pr 3.48-3.67
Dy: 0.1658 0.3585 0.4995  5 Dy 3.32-3.65, 4 Pr 3.48-3.67
Dy: 0.7013 0.0000 0.9984  2 Dy 3.12, 2 Pr 3.39
Dy: 0.9775 0.3569 0.9996  5 Dy 3.33-3.67, 3 Pr 3.49-3.65, 1 Tb 3.60
Dy: 0.0225 0.6431 0.0004  5 Dy 3.33-3.67, 3 Pr 3.49-3.65, 1 Tb 3.60
Dy: 0.4758 0.3585 0.5005  5 Dy 3.32-3.65, 4 Pr 3.48-3.67
Dy: 0.3344 0.6431 0.9996  5 Dy 3.33-3.67, 3 Pr 3.49-3.65, 1 Tb 3.60
Tb: 0.0000 0.0000 0.0000  10 Dy 3.51-3.72, 4 Pr 3.75

Summary:
spin magnetization = 0.00 Bohr magnetons per cell
raw total energy = -4.562 eV/atom
formation energy from the elements = 91 meV per atom
calculated volume = 591.0 Å³/cell

# 5
First-principles (PBE-GGA) data for a relaxed structure of Tl2ZnCd12, as listed in Alexandria.

abc: 6.0598 6.0598 20.4728
angles: 90.00 90.00 90.00
With the nearest neighbours (Å) after each atom.
Positions (direct):
Cd: 0.0000 0.0000 0.6656  5 Cd 2.88-3.03
Cd: 0.1749 0.6749 0.5655  8 Cd 2.97-3.16
Cd: 0.2496 0.7496 0.0887  2 Zn 2.81, 6 Cd 3.03
Cd: 0.7504 0.2504 0.0887  2 Zn 2.81, 6 Cd 3.03
Cd: 0.0000 0.0000 0.3344  5 Cd 2.88-3.03
Cd: 0.0000 0.0000 0.8064  5 Cd 2.88-3.03
Cd: 0.6749 0.1749 0.4345  8 Cd 2.97-3.16
Cd: 0.5000 0.5000 0.1936  5 Cd 2.88-3.03
Cd: 0.7504 0.7496 0.9113  2 Zn 2.81, 6 Cd 3.03
Cd: 0.6749 0.8251 0.5655  8 Cd 2.97-3.16
Cd: 0.3251 0.1749 0.5655  8 Cd 2.97-3.16
Cd: 0.5000 0.5000 0.6656  5 Cd 2.88-3.03
Cd: 0.5000 0.5000 0.8064  5 Cd 2.88-3.03
Cd: 0.7496 0.7504 0.0887  2 Zn 2.81, 6 Cd 3.03
Cd: 0.2504 0.7504 0.9113  2 Zn 2.81, 6 Cd 3.03
Cd: 0.5000 0.5000 0.3344  5 Cd 2.88-3.03
Cd: 0.7496 0.2496 0.9113  2 Zn 2.81, 6 Cd 3.03
Cd: 0.2504 0.2496 0.0887  2 Zn 2.81, 6 Cd 3.03
Cd: 0.0000 0.0000 0.1936  5 Cd 2.88-3.03
Cd: 0.8251 0.6749 0.4345  8 Cd 2.97-3.16
Cd: 0.8251 0.3251 0.5655  8 Cd 2.97-3.16
Cd: 0.1749 0.3251 0.4345  8 Cd 2.97-3.16
Cd: 0.2496 0.2504 0.9113  2 Zn 2.81, 6 Cd 3.03
Cd: 0.3251 0.8251 0.4345  8 Cd 2.97-3.16
Zn: 0.0000 0.5000 0.0000  8 Cd 2.81
Zn: 0.5000 0.0000 0.0000  8 Cd 2.81
Tl: 0.5000 0.0000 0.2589  8 Cd 3.31-3.40
Tl: 0.0000 0.5000 0.7411  8 Cd 3.31-3.40
Tl: 0.5000 0.0000 0.7411  8 Cd 3.31-3.40
Tl: 0.0000 0.5000 0.2589  8 Cd 3.31-3.40

Summary:
spin magnetization = 0.00 Bohr magnetons per cell
raw total energy = -1.076 eV/atom
formation energy from the elements = 56 meV per atom
calculated volume = 751.8 Å³/cell

# 6
First-principles (PBE-GGA) data for a relaxed structure of Pm2CdGe3Rh4, as listed in Alexandria.

abc: 4.2111 4.2111 10.7162
angles: 90.00 90.00 90.00
With the nearest neighbours (Å) after each atom.
Positions (direct):
Rh: 0.5000 0.5000 0.0000  4 Ge 2.49
Rh: 0.0000 0.0000 0.0000  4 Ge 2.49
Rh: 0.5000 0.0000 0.6505  3 Ge 2.42-2.65, 2 Cd 2.65
Rh: 0.0000 0.5000 0.3495  3 Ge 2.42-2.65, 2 Cd 2.65
Ge: 0.0000 0.5000 0.1237  5 Rh 2.42-2.49
Ge: 0.0000 0.0000 0.5000  4 Rh 2.65
Ge: 0.5000 0.0000 0.8763  5 Rh 2.42-2.49
Pm: 0.5000 0.0000 0.2441  8 Rh 3.18-3.36, 6 Ge 3.25-3.46, 2 Cd 3.46
Pm: 0.0000 0.5000 0.7559  8 Rh 3.18-3.36, 6 Ge 3.25-3.46, 2 Cd 3.46
Cd: 0.5000 0.5000 0.5000  4 Rh 2.65

Summary:
spin magnetization = 0.00 Bohr magnetons per cell
raw total energy = -6.109 eV/atom
formation energy from the elements = -741 meV per atom
calculated volume = 190.0 Å³/cell

# 7
First-principles (PBE-GGA) data for a relaxed structure of BeRuPt2, as listed in Alexandria.

abc: 4.3032 4.3032 4.3032
angles: 60.00 60.00 60.00
With the nearest neighbours (Å) after each atom.
Positions (direct):
Pt: 0.7500 0.7500 0.7500  4 Be 2.64, 4 Pt 2.64
Pt: 0.0000 0.0000 0.0000  4 Ru 2.64, 4 Pt 2.64
Be: 0.5000 0.5000 0.5000  4 Ru 2.64, 4 Pt 2.64
Ru: 0.2500 0.2500 0.2500  4 Pt 2.64, 4 Be 2.64

Summary:
spin magnetization = 1.61 Bohr magnetons per cell
raw total energy = -6.212 eV/atom
formation energy from the elements = 58 meV per atom
calculated volume = 56.3 Å³/cell

# 8
First-principles (PBE-GGA) data for a relaxed structure of Rb2TaInBr6, as listed in Alexandria.

abc: 8.1484 8.1484 8.1480
angles: 60.00 60.00 90.00
With the nearest neighbours (Å) after each atom.
Positions (direct):
Br: 0.7715 0.2285 0.0000  1 Ta 2.63
Br: 0.2285 0.7715 0.0000  1 Ta 2.63
Br: 0.2285 0.2285 0.0000  1 Ta 2.63
Br: 0.2285 0.2285 0.5429  1 Ta 2.63
Br: 0.7715 0.7715 0.0000  1 Ta 2.63
Br: 0.7715 0.7715 0.4571  1 Ta 2.63
Rb: 0.2500 0.7500 0.5000  12 Br 4.08
Rb: 0.7500 0.2500 0.5000  12 Br 4.08
Ta: 0.0000 0.0000 0.0000  6 Br 2.63
In: 0.5000 0.5000 0.0000  6 Br 3.13

Summary:
spin magnetization = 2.00 Bohr magnetons per cell
ΔE_f (raw) = -1013 kJ/mol of formula units
raw total energy = -3.706 eV/atom
calculated volume = 382.5 Å³/cell

> The highest calculated volume belongs to which entry?

Tl2ZnCd12

> What is the formula in the first record?

Ac2GaAg3Ge4

> The highest raw total energy belongs to which entry?

Tl2ZnCd12